1.
The following is a GGA-PBEsol calculation of crystalline Tc2MoRu at its relaxed geometry, from Alexandria.

Geometry as POSCAR:
```
Tc2MoRu
1.0
3.149 0.000 0.000
0.000 3.149 0.000
0.000 0.000 5.822
Mo Ru Tc
1 1 2
direct
0.000 0.000 0.505
0.500 0.500 0.741
0.000 0.000 0.028
0.500 0.500 0.225
```

## Properties
Its space group is No. 99. The value obtained for the formation enthalpy at 0 K is 0.259 eV/atom.


2.
The following is a GGA-PBEsol calculation of crystalline SbBr2Cl at its relaxed geometry, from Alexandria.

Geometry as POSCAR:
```
SbBr2Cl
1.0
-3.668 -2.213 -0.094
-0.990 -2.645 3.223
-4.778 3.585 4.324
Sb Br Cl
1 2 1
direct
0.000 0.000 0.000
0.261 0.261 0.216
0.739 0.739 0.784
0.500 0.500 0.500
```

## Properties
Its space group is No. 166. The uncorrected formation energy is -0.9 eV/f.u.


3.
The following is a GGA-PBEsol calculation of crystalline KCdW2 at its relaxed geometry, from Alexandria.

Geometry as POSCAR:
```
KCdW2
1.0
-0.796 2.572 -0.224
-1.433 -0.245 2.276
8.553 3.145 5.724
Cd K W
1 1 2
direct
0.500 0.500 0.000
0.500 0.500 0.500
0.000 0.000 0.784
0.000 0.000 0.216
```

## Properties
Its space group is No. 123. The value obtained for the formation enthalpy at 0 K is 1.209 eV/atom.


4.
The following is a GGA-PBEsol calculation of crystalline YSc2In at its relaxed geometry, from Alexandria.

Geometry as POSCAR:
```
YSc2In
1.0
3.759 0.000 0.000
0.000 4.908 0.000
-1.880 -2.454 5.277
Y Sc In
1 2 1
direct
0.518 0.518 0.036
0.977 0.977 0.955
0.747 0.247 0.494
0.258 0.758 0.516
```

## Properties
Its space group is No. 44. The value obtained for the formation enthalpy at 0 K is -0.253 eV/atom.


5.
The following is a GGA-PBEsol calculation of crystalline BaSc2Ge2 at its relaxed geometry, from Alexandria.

Geometry as POSCAR:
```
BaSc2Ge2
1.0
-1.835 4.085 -1.127
-3.740 -2.139 -1.661
0.173 -0.641 6.854
Sc Ge Ba
2 2 1
direct
0.250 0.750 0.500
0.750 0.250 0.500
0.374 0.374 0.748
0.626 0.626 0.252
0.000 0.000 0.000
```

## Properties
Its space group is No. 139. The value obtained for the formation enthalpy at 0 K is -0.661 eV/atom.


6.
The following is a GGA-PBEsol calculation of crystalline InRuRh at its relaxed geometry, from Alexandria.

Geometry as POSCAR:
```
InRuRh
1.0
-0.499 -2.662 -3.254
2.969 -0.245 -3.009
2.429 -3.455 -0.300
In Rh Ru
1 1 1
direct
0.500 0.500 0.500
0.250 0.250 0.250
0.000 0.000 0.000
```

## Properties
Its space group is No. 216. The value obtained for the formation enthalpy at 0 K is 0.376 eV/atom.


7.
The following is a GGA-PBEsol calculation of crystalline GaSnOsF2 at its relaxed geometry, from Alexandria.

Geometry as POSCAR:
```
GaSnOsF2
1.0
-1.578 3.090 -2.112
-0.969 -2.551 -3.008
-4.777 -0.879 2.283
Os Sn Ga F
1 1 1 2
direct
0.000 0.000 0.000
0.000 0.000 0.500
0.500 0.500 0.500
0.000 0.500 0.000
0.500 0.000 0.000
```

## Properties
Its space group is No. 123. The uncorrected formation energy is -1.4 eV/f.u.


8.
The following is a GGA-PBEsol calculation of crystalline K4CoHg at its relaxed geometry, from Alexandria.

Geometry as POSCAR:
```
K4CoHg
1.0
-4.692 1.213 -5.270
0.806 -3.249 -6.329
-4.561 -5.148 -1.987
Co Hg K
1 1 4
direct
0.750 0.750 0.750
0.000 0.000 0.000
0.376 0.376 0.376
0.376 0.376 0.873
0.873 0.376 0.376
0.376 0.873 0.376
```

## Properties
Its space group is No. 216. The value obtained for the formation enthalpy at 0 K is 0.831 eV/atom.


Total energy: -43.44; -11.22; -25.11; -24.03; -28.54; -20.17; -25.04; -7.85 (eV per cell)